Record 1
! ScFe2BSb PBE relaxed; values from VASP
&SYSTEM
  ibrav = 0, nat = 5, ntyp = 4
/
ATOMIC_SPECIES
Sc 44.96 Sc.upf
Fe 55.84 Fe.upf
B 10.81 B.upf
Sb 121.76 Sb.upf
CELL_PARAMETERS angstrom
4.4703 0.0000 0.0000
0.0000 4.4703 0.0000
0.0000 0.0000 5.4346
ATOMIC_POSITIONS angstrom
Sc 0.0000 0.0000 0.0000
Fe 0.0000 2.2351 0.0000
Fe 2.2351 0.0000 0.0000
B 2.2351 2.2351 2.7173
Sb 0.0000 0.0000 2.7173
! DOS(E_F): 0.866 states/eV per atom
! uncorrected energy: -4.8469 eV per atom
! volume: 109 Å³/cell
! space group: P4/mmm (123)

---

Record 2
! Mg3RhO4 PBE relaxed; values from VASP
&SYSTEM
  ibrav = 0, nat = 8, ntyp = 3
/
ATOMIC_SPECIES
Mg 24.30 Mg.upf
Rh 102.91 Rh.upf
O 16.00 O.upf
CELL_PARAMETERS angstrom
-2.1853 2.1853 4.2236
2.1853 -2.1853 4.2236
2.1853 2.1853 -4.2236
ATOMIC_POSITIONS angstrom
Mg 0.0000 0.0000 0.0000
Mg 2.1853 0.0000 2.1118
Mg 0.0000 2.1853 2.1118
Rh 0.0000 0.0000 4.2236
O 2.1853 0.0000 0.0000
O 0.0000 0.0000 2.0556
O 0.0000 2.1853 0.0000
O 0.0000 0.0000 6.3916
! DOS(E_F): 0.206 states/eV per atom
! uncorrected energy: -6.0094 eV per atom
! volume: 81 Å³/cell
! space group: I4/mmm (139)

---

Record 3
! PuUTe2 PBE relaxed; values from VASP
&SYSTEM
  ibrav = 0, nat = 4, ntyp = 3
/
ATOMIC_SPECIES
Pu 244.00 Pu.upf
U 238.03 U.upf
Te 127.60 Te.upf
CELL_PARAMETERS angstrom
3.7331 0.0000 0.0000
0.0000 3.7331 0.0000
0.0000 0.0000 7.7174
ATOMIC_POSITIONS angstrom
Pu 0.0000 0.0000 0.0000
U 0.0000 0.0000 3.8587
Te 1.8665 1.8665 1.9727
Te 1.8665 1.8665 5.7447
! DOS(E_F): 3.356 states/eV per atom
! uncorrected energy: -8.6301 eV per atom
! volume: 108 Å³/cell
! space group: P4/mmm (123)

---

Record 4
! Li5Ac2Pd12 PBE relaxed; values from VASP
&SYSTEM
  ibrav = 0, nat = 19, ntyp = 3
/
ATOMIC_SPECIES
Li 6.94 Li.upf
Ac 227.00 Ac.upf
Pd 106.42 Pd.upf
CELL_PARAMETERS angstrom
4.5514 2.6277 4.5547
-4.5514 2.6277 4.5547
0.0000 -5.2555 4.5547
ATOMIC_POSITIONS angstrom
Li -4.5514 0.0000 6.8321
Li -2.2757 1.3139 2.2774
Li 0.0000 0.0000 1.2137
Li 2.2757 1.3139 2.2774
Li 0.0000 0.0000 12.4505
Ac 0.0000 0.0000 4.7517
Ac 0.0000 0.0000 8.9125
Pd -1.3659 -2.8897 4.5547
Pd -3.1855 0.2620 4.5547
Pd -2.3534 -1.3587 6.6761
Pd 1.3659 -2.8897 4.5547
Pd -1.8196 2.6277 4.5547
Pd 0.0000 -2.7174 6.9881
Pd -2.3534 1.3587 6.9881
Pd 2.3534 -1.3587 6.6761
Pd 0.0000 2.7175 6.6761
Pd 3.1855 0.2620 4.5547
Pd 1.8196 2.6277 4.5547
Pd 2.3534 1.3587 6.9881
! DOS(E_F): 0.548 states/eV per atom
! energy of formation from the pure elements: -0.534 eV per atom
! uncorrected energy: -4.7498 eV per atom
! volume: 327 Å³/cell
! space group: R-3m (166)

---

Record 5
! LiCaTmSi PBE relaxed; values from VASP
&SYSTEM
  ibrav = 0, nat = 4, ntyp = 4
/
ATOMIC_SPECIES
Li 6.94 Li.upf
Ca 40.08 Ca.upf
Tm 168.93 Tm.upf
Si 28.09 Si.upf
CELL_PARAMETERS angstrom
0.0000 3.5398 3.5398
3.5398 0.0000 3.5398
3.5398 3.5398 0.0000
ATOMIC_POSITIONS angstrom
Li 0.0000 0.0000 0.0000
Ca 5.3097 5.3097 5.3097
Tm 1.7699 1.7699 1.7699
Si 3.5398 3.5398 3.5398
! DOS(E_F): 0.555 states/eV per atom
! uncorrected energy: -3.7180 eV per atom
! volume: 89 Å³/cell
! space group: F-43m (216)

---

Record 6
! ErTm12In6 PBE relaxed; values from VASP
&SYSTEM
  ibrav = 0, nat = 19, ntyp = 3
/
ATOMIC_SPECIES
Er 167.26 Er.upf
Tm 168.93 Tm.upf
In 114.82 In.upf
CELL_PARAMETERS angstrom
7.3655 4.2525 2.8059
-7.3655 4.2525 2.8059
0.0000 -8.5049 2.8059
ATOMIC_POSITIONS angstrom
Er 0.0000 0.0000 0.0000
Tm -0.6499 -5.0749 2.8101
Tm -4.0701 3.1003 2.8101
Tm -0.7915 -1.7737 2.7743
Tm -4.7199 -1.9747 5.6075
Tm -1.1403 1.5723 2.7743
Tm 1.9318 0.2014 2.7743
Tm -1.9318 -0.2014 5.6432
Tm 1.1403 -1.5723 5.6432
Tm 4.7199 1.9747 2.8101
Tm 0.7915 1.7737 5.6432
Tm 4.0701 -3.1003 5.6075
Tm 0.6499 5.0749 5.6075
In -3.7518 -0.4169 2.8282
In 2.2369 -3.0407 2.8282
In -1.5149 -3.4576 5.5893
In 1.5149 3.4576 2.8282
In -2.2369 3.0407 5.5893
In 3.7518 0.4169 5.5893
! DOS(E_F): 1.260 states/eV per atom
! energy of formation from the pure elements: -0.188 eV per atom
! uncorrected energy: -4.1167 eV per atom
! volume: 527 Å³/cell
! space group: R-3 (148)

---

Record 7
! Sm4As2Cl3 PBE relaxed; values from VASP
&SYSTEM
  ibrav = 0, nat = 9, ntyp = 3
/
ATOMIC_SPECIES
Sm 150.36 Sm.upf
As 74.92 As.upf
Cl 35.45 Cl.upf
CELL_PARAMETERS angstrom
3.5939 -2.0750 0.0000
3.5939 2.0750 0.0000
-0.0192 0.0000 16.8439
ATOMIC_POSITIONS angstrom
Sm 0.0002 0.0000 5.0341
Sm 2.3961 0.0000 1.8531
Sm 4.7726 0.0000 14.9908
Sm 7.1685 0.0000 11.8098
As 2.3766 0.0000 13.4289
As 4.7920 0.0000 3.4149
Cl 0.0000 0.0000 0.0000
Cl 2.3961 0.0000 6.6563
Cl 4.7726 0.0000 10.1875
! DOS(E_F): 0.496 states/eV per atom
! uncorrected energy: -5.4617 eV per atom
! volume: 251 Å³/cell
! space group: C2/m (12)

---

Record 8
! LiCePmNd PBE relaxed; values from VASP
&SYSTEM
  ibrav = 0, nat = 4, ntyp = 4
/
ATOMIC_SPECIES
Li 6.94 Li.upf
Ce 140.12 Ce.upf
Pm 145.00 Pm.upf
Nd 144.24 Nd.upf
CELL_PARAMETERS angstrom
0.0000 3.8913 3.8913
3.8913 0.0000 3.8913
3.8913 3.8913 0.0000
ATOMIC_POSITIONS angstrom
Li 0.0000 0.0000 0.0000
Ce 3.8913 3.8913 3.8913
Pm 5.8370 5.8370 5.8370
Nd 1.9457 1.9457 1.9457
! DOS(E_F): 2.538 states/eV per atom
! energy of formation from the pure elements: 0.277 eV per atom
! uncorrected energy: -4.0649 eV per atom
! volume: 118 Å³/cell
! space group: F-43m (216)

---

> uncorrected energy of number 3 (PuUTe2)?

-8.6301 eV per atom

---

> Which value of uncorrected energy does entry 8 give?

-4.0649 eV per atom

---

> What is the formula in the sixth record?

ErTm12In6

---

> volume of number 4 (Li5Ac2Pd12)?

327 Å³/cell